! NaIn2SiTc | the Alexandria database | PBE | relaxed; values from VASP
&SYSTEM
  ibrav = 0, nat = 5, ntyp = 4
/
ATOMIC_SPECIES
Na 22.99 Na.upf
In 114.82 In.upf
Si 28.09 Si.upf
Tc 98.00 Tc.upf
CELL_PARAMETERS angstrom
5.238 0.000 0.000
0.000 5.238 0.000
0.000 0.000 4.679
ATOMIC_POSITIONS crystal
Na 0.000 0.000 0.000
In 0.000 0.500 0.500
In 0.500 0.000 0.500
Si 0.500 0.500 0.000
Tc 0.500 0.500 0.500
! **Total magnetic moment**: 0.0 μB/f.u.
! **Space group**: P4/mmm (123)
! **E_tot**: -22.35 eV for the cell shown
! **V**: 25.67 A^3/atom
! **Formation energy from raw total energies**: 47 meV per atom

---

! NaInSi2Te6 | the Alexandria database | PBE | relaxed; values from VASP
&SYSTEM
  ibrav = 0, nat = 20, ntyp = 4
/
ATOMIC_SPECIES
Na 22.99 Na.upf
In 114.82 In.upf
Si 28.09 Si.upf
Te 127.60 Te.upf
CELL_PARAMETERS angstrom
7.312 -7.008 0.000
7.312 7.008 0.000
-2.827 0.000 7.048
ATOMIC_POSITIONS crystal
Na 0.137 0.863 0.750
Na 0.863 0.137 0.250
In 0.218 0.782 0.250
In 0.782 0.218 0.750
Si 0.225 0.370 0.784
Si 0.370 0.225 0.284
Si 0.630 0.775 0.716
Si 0.775 0.630 0.216
Te 0.048 0.175 0.662
Te 0.114 0.598 0.887
Te 0.175 0.048 0.162
Te 0.310 0.433 0.524
Te 0.402 0.886 0.613
Te 0.433 0.310 0.024
Te 0.567 0.690 0.976
Te 0.598 0.114 0.387
Te 0.690 0.567 0.476
Te 0.825 0.952 0.838
Te 0.886 0.402 0.113
Te 0.952 0.825 0.338
! **Total magnetic moment**: 0.0 μB/f.u.
! **Space group**: C2/c (15)
! **E_tot**: -70.99 eV for the cell shown
! **V**: 36.12 A^3/atom
! **Formation energy from raw total energies**: -174 meV per atom

---

! Na2InSiW | the Alexandria database | PBE | relaxed; values from VASP
&SYSTEM
  ibrav = 0, nat = 5, ntyp = 4
/
ATOMIC_SPECIES
Na 22.99 Na.upf
In 114.82 In.upf
Si 28.09 Si.upf
W 183.84 W.upf
CELL_PARAMETERS angstrom
5.254 0.000 0.000
0.000 5.254 0.000
0.000 0.000 5.272
ATOMIC_POSITIONS crystal
Na 0.000 0.500 0.000
Na 0.500 0.000 0.000
In 0.000 0.000 0.000
Si 0.500 0.500 0.500
W 0.000 0.000 0.500
! **Total magnetic moment**: 2.3 μB/f.u.
! **Space group**: P4/mmm (123)
! **E_tot**: -15.78 eV for the cell shown
! **V**: 29.10 A^3/atom
! **Formation energy from raw total energies**: 1594 meV per atom

---

! NaSmIn6 | the Alexandria database | PBE | relaxed; values from VASP
&SYSTEM
  ibrav = 0, nat = 8, ntyp = 3
/
ATOMIC_SPECIES
Na 22.99 Na.upf
Sm 150.36 Sm.upf
In 114.82 In.upf
CELL_PARAMETERS angstrom
6.577 0.000 0.000
0.000 6.577 0.000
0.000 0.000 4.784
ATOMIC_POSITIONS crystal
Na 0.000 0.000 0.000
Sm 0.500 0.500 0.000
In 0.000 0.500 0.000
In 0.249 0.249 0.500
In 0.249 0.751 0.500
In 0.500 0.000 0.000
In 0.751 0.249 0.500
In 0.751 0.751 0.500
! **Total magnetic moment**: 0.0 μB/f.u.
! **Space group**: P4/mmm (123)
! **E_tot**: -24.44 eV for the cell shown
! **V**: 25.87 A^3/atom
! **ΔE_f**: -0.247 eV per atom

---

! NaSm4In5 | the Alexandria database | PBE | relaxed; values from VASP
&SYSTEM
  ibrav = 0, nat = 10, ntyp = 3
/
ATOMIC_SPECIES
Na 22.99 Na.upf
Sm 150.36 Sm.upf
In 114.82 In.upf
CELL_PARAMETERS angstrom
3.801 0.000 0.000
0.000 3.801 0.000
0.000 0.000 19.328
ATOMIC_POSITIONS crystal
Na 0.000 0.000 0.000
Sm 0.000 0.000 0.196
Sm 0.000 0.000 0.399
Sm 0.000 0.000 0.601
Sm 0.000 0.000 0.804
In 0.500 0.500 0.099
In 0.500 0.500 0.299
In 0.500 0.500 0.500
In 0.500 0.500 0.701
In 0.500 0.500 0.901
! **Total magnetic moment**: 0.0 μB/f.u.
! **Space group**: P4/mmm (123)
! **E_tot**: -37.88 eV for the cell shown
! **V**: 27.92 A^3/atom
! **ΔE_f**: -0.400 eV per atom

---

! NaSmIn2 | the Alexandria database | PBE | relaxed; values from VASP
&SYSTEM
  ibrav = 0, nat = 4, ntyp = 3
/
ATOMIC_SPECIES
Na 22.99 Na.upf
Sm 150.36 Sm.upf
In 114.82 In.upf
CELL_PARAMETERS angstrom
0.000 3.780 3.780
3.780 0.000 3.780
3.780 3.780 0.000
ATOMIC_POSITIONS crystal
Na 0.000 0.000 0.000
Sm 0.500 0.500 0.500
In 0.250 0.250 0.250
In 0.750 0.750 0.750
! **Total magnetic moment**: 0.0 μB/f.u.
! **Space group**: Fm-3m (225)
! **Excess energy over the best structure of this formula in the dataset**: 24 meV/atom
! **E_tot**: -12.69 eV for the cell shown
! **V**: 27.00 A^3/atom
! **ΔE_f**: -0.295 eV per atom

---

! NaSm2In | the Alexandria database | PBE | relaxed; values from VASP
&SYSTEM
  ibrav = 0, nat = 4, ntyp = 3
/
ATOMIC_SPECIES
Na 22.99 Na.upf
Sm 150.36 Sm.upf
In 114.82 In.upf
CELL_PARAMETERS angstrom
3.582 0.000 0.000
0.000 3.582 0.000
0.000 0.000 9.867
ATOMIC_POSITIONS crystal
Na 0.000 0.000 0.000
Sm 0.500 0.500 0.288
Sm 0.500 0.500 0.712
In 0.000 0.000 0.500
! **Total magnetic moment**: 0.0 μB/f.u.
! **Space group**: P4/mmm (123)
! **E_tot**: -13.92 eV for the cell shown
! **V**: 31.65 A^3/atom
! **ΔE_f**: -0.106 eV per atom

---

! NaSm5In6 | the Alexandria database | PBE | relaxed; values from VASP
&SYSTEM
  ibrav = 0, nat = 12, ntyp = 3
/
ATOMIC_SPECIES
Na 22.99 Na.upf
Sm 150.36 Sm.upf
In 114.82 In.upf
CELL_PARAMETERS angstrom
2.684 -8.094 0.000
2.684 8.094 0.000
0.000 0.000 7.679
ATOMIC_POSITIONS crystal
Na 0.000 0.000 0.000
Sm 0.000 0.000 0.500
Sm 0.334 0.666 0.500
Sm 0.338 0.662 0.000
Sm 0.662 0.338 0.000
Sm 0.666 0.334 0.500
In 0.165 0.835 0.246
In 0.165 0.835 0.754
In 0.500 0.500 0.246
In 0.500 0.500 0.754
In 0.835 0.165 0.246
In 0.835 0.165 0.754
! **Total magnetic moment**: 0.0 μB/f.u.
! **Space group**: Cmmm (65)
! **E_tot**: -46.45 eV for the cell shown
! **V**: 27.80 A^3/atom
! **ΔE_f**: -0.426 eV per atom

---

! NaSm5In3 | the Alexandria database | PBE | relaxed; values from VASP
&SYSTEM
  ibrav = 0, nat = 18, ntyp = 3
/
ATOMIC_SPECIES
Na 22.99 Na.upf
Sm 150.36 Sm.upf
In 114.82 In.upf
CELL_PARAMETERS angstrom
9.538 0.000 0.000
-4.769 8.260 0.000
0.000 0.000 6.791
ATOMIC_POSITIONS crystal
Na 0.000 0.000 0.000
Na 0.000 0.000 0.500
Sm 0.000 0.320 0.250
Sm 0.000 0.680 0.750
Sm 0.320 0.000 0.250
Sm 0.320 0.320 0.750
Sm 0.333 0.667 0.000
Sm 0.333 0.667 0.500
Sm 0.667 0.333 0.000
Sm 0.667 0.333 0.500
Sm 0.680 0.000 0.750
Sm 0.680 0.680 0.250
In 0.000 0.346 0.750
In 0.000 0.654 0.250
In 0.346 0.000 0.750
In 0.346 0.346 0.250
In 0.654 0.000 0.250
In 0.654 0.654 0.750
! **Total magnetic moment**: 0.0 μB/f.u.
! **Space group**: P6_3/mcm (193)
! **E_tot**: -71.93 eV for the cell shown
! **V**: 29.72 A^3/atom
! **ΔE_f**: -0.315 eV per atom

---

! NaSm2In | the Alexandria database | PBE | relaxed; values from VASP
&SYSTEM
  ibrav = 0, nat = 4, ntyp = 3
/
ATOMIC_SPECIES
Na 22.99 Na.upf
Sm 150.36 Sm.upf
In 114.82 In.upf
CELL_PARAMETERS angstrom
5.233 0.000 0.000
0.000 5.233 0.000
0.000 0.000 4.296
ATOMIC_POSITIONS crystal
Na 0.000 0.000 0.000
Sm 0.000 0.500 0.500
Sm 0.500 0.000 0.500
In 0.500 0.500 0.000
! **Total magnetic moment**: 0.0 μB/f.u.
! **Space group**: P4/mmm (123)
! **E_tot**: -13.96 eV for the cell shown
! **V**: 29.41 A^3/atom
! **ΔE_f**: -0.117 eV per atom

---

! NaSm5In4 | the Alexandria database | PBE | relaxed; values from VASP
&SYSTEM
  ibrav = 0, nat = 10, ntyp = 3
/
ATOMIC_SPECIES
Na 22.99 Na.upf
Sm 150.36 Sm.upf
In 114.82 In.upf
CELL_PARAMETERS angstrom
3.682 0.000 0.000
0.000 3.682 0.000
0.000 0.000 21.620
ATOMIC_POSITIONS crystal
Na 0.000 0.000 0.000
Sm 0.500 0.500 0.120
Sm 0.500 0.500 0.308
Sm 0.500 0.500 0.500
Sm 0.500 0.500 0.692
Sm 0.500 0.500 0.880
In 0.000 0.000 0.211
In 0.000 0.000 0.404
In 0.000 0.000 0.596
In 0.000 0.000 0.789
! **Total magnetic moment**: 0.0 μB/f.u.
! **Space group**: P4/mmm (123)
! **E_tot**: -39.29 eV for the cell shown
! **V**: 29.31 A^3/atom
! **ΔE_f**: -0.342 eV per atom

---

! NaSm6In6 | the Alexandria database | PBE | relaxed; values from VASP
&SYSTEM
  ibrav = 0, nat = 13, ntyp = 3
/
ATOMIC_SPECIES
Na 22.99 Na.upf
Sm 150.36 Sm.upf
In 114.82 In.upf
CELL_PARAMETERS angstrom
6.441 0.000 0.000
-3.220 5.578 0.000
0.000 0.000 10.858
ATOMIC_POSITIONS crystal
Na 0.000 0.000 0.000
Sm 0.000 0.000 0.326
Sm 0.000 0.000 0.674
Sm 0.333 0.667 0.000
Sm 0.333 0.667 0.500
Sm 0.667 0.333 0.000
Sm 0.667 0.333 0.500
In 0.000 0.500 0.247
In 0.000 0.500 0.753
In 0.500 0.000 0.247
In 0.500 0.000 0.753
In 0.500 0.500 0.247
In 0.500 0.500 0.753
! **Total magnetic moment**: 0.2 μB/f.u.
! **Space group**: P6/mmm (191)
! **E_tot**: -49.80 eV for the cell shown
! **V**: 30.00 A^3/atom
! **ΔE_f**: -0.288 eV per atom